# 1
A PBEsol-optimized structure of Ni8Os. Source: Alexandria via LeMat-Bulk, functional meta-GGA SCAN.

ΔE_f	0.078	eV per atom
uncorrected energy	-22.2852	eV/atom
calculated density	11.30	Mg/m³

Cell: 7.4177 7.4177 3.5230 Å, 90.00 90.00 90.00°
Last column: nearest neighbours and their distance in Å.
Space group I4/mmm (No. 139)
One atom of each set of equivalent atoms:
1 Ni 0.0000 0.3340 0.0000 [8 per cell]  11 Ni 2.46-2.48, 1 Os 2.48
2 Ni 0.1663 0.1663 0.5000 [8 per cell]  10 Ni 2.47-2.49, 2 Os 2.48
3 Os 0.0000 0.0000 0.0000 [2 per cell]  12 Ni 2.48

# 2
A PBEsol-optimized structure of Nb2C. Source: Alexandria via LeMat-Bulk, functional meta-GGA SCAN.

ΔE_f	-0.503	eV per atom
uncorrected energy	-25.9557	eV/atom
calculated density	7.85	Mg/m³

Cell: 3.1222 3.1222 4.9591 Å, 90.00 90.00 120.00°
Last column: nearest neighbours and their distance in Å.
Space group P-3m1 (No. 164)
One atom of each set of equivalent atoms:
1 Nb 0.3333 0.6667 0.2509 [2 per cell]  3 C 2.19
2 C 0.0000 0.0000 0.0000 [1 per cell]  6 Nb 2.19

# 3
A PBEsol-optimized structure of Zn2AsSe. Source: Alexandria via LeMat-Bulk, functional meta-GGA SCAN.

uncorrected energy	-16.4217	eV/atom
formation energy from raw total energies	39	kJ/mol of atoms
calculated density	6.72	Mg/m³

Cell: 6.5518 6.5518 6.5518 Å, 90.00 90.00 90.00°
Last column: nearest neighbours and their distance in Å.
Space group F-43m (No. 216)
One atom of each set of equivalent atoms:
1 Zn 0.0000 0.0000 0.0000 [4 per cell]  4 As 2.84, 4 Zn 2.84
2 Zn 0.2500 0.2500 0.2500 [4 per cell]  4 Se 2.84, 4 Zn 2.84
3 As 0.2500 0.2500 0.7500 [4 per cell]  4 Se 2.84, 4 Zn 2.84
4 Se 0.0000 0.0000 0.5000 [4 per cell]  4 As 2.84, 4 Zn 2.84

# 4
A PBEsol-optimized structure of CaZnSe2. Source: Alexandria via LeMat-Bulk, functional meta-GGA SCAN.

uncorrected energy	-17.1789	eV/atom
formation energy from raw total energies	-130	kJ/mol of atoms
calculated density	4.45	Mg/m³

Cell: 6.8477 6.8477 8.3848 Å, 90.00 90.00 90.00°
Last column: nearest neighbours and their distance in Å.
Space group I-42d (No. 122)
One atom of each set of equivalent atoms:
1 Ca 0.0000 0.0000 0.0000 [4 per cell]  4 Se 2.86
2 Zn 0.0000 0.0000 0.5000 [4 per cell]  4 Se 2.44
3 Se 0.2017 0.7500 0.6250 [8 per cell]  2 Zn 2.44

# 5
A PBEsol-optimized structure of EuSiPt. Source: Alexandria via LeMat-Bulk, functional meta-GGA SCAN.

uncorrected energy	-45.8399	eV/atom
formation energy from raw total energies	-116	kJ/mol of atoms
calculated density	9.72	Mg/m³

Cell: 6.3531 6.3531 6.3531 Å, 90.00 90.00 90.00°
Last column: nearest neighbours and their distance in Å.
Space group P2_13 (No. 198)
One atom of each set of equivalent atoms:
1 Eu 0.1236 0.1236 0.1236 [4 per cell]  4 Si 3.19-3.21, 4 Pt 3.20-3.25
2 Si 0.1683 0.3317 0.6683 [4 per cell]  3 Pt 2.31
3 Pt 0.0811 0.5811 0.9189 [4 per cell]  3 Si 2.31

# 6
A PBEsol-optimized structure of SiRu2W. Source: Alexandria via LeMat-Bulk, functional meta-GGA SCAN.

uncorrected energy	-37.4377	eV/atom
formation energy from raw total energies	-10	kJ/mol of atoms
calculated density	12.52	Mg/m³

Cell: 4.0367 2.7475 9.9070 Å, 90.00 90.00 90.00°
Last column: nearest neighbours and their distance in Å.
Space group Amm2 (No. 38)
One atom of each set of equivalent atoms:
1 Si 0.0000 0.0000 0.0000 [2 per cell]  3 Ru 2.35-2.47
2 Ru 0.0000 0.0000 0.2493 [2 per cell]  1 Si 2.47, 6 Ru 2.75-2.76, 4 W 2.76
3 Ru 0.5000 0.0000 0.8786 [2 per cell]  2 Si 2.35, 1 W 2.57
4 W 0.5000 0.0000 0.6187 [2 per cell]  7 Ru 2.57-2.76, 4 Si 2.71, 2 W 2.75

# 7
A PBEsol-optimized structure of MnCoSeN2. Source: Alexandria via LeMat-Bulk, functional meta-GGA SCAN.

uncorrected energy	-14.2778	eV/atom
formation energy from raw total energies	55	kJ/mol of atoms
calculated density	5.76	Mg/m³

Cell: 3.4986 3.4986 5.2011 Å, 90.00 90.00 90.00°
Last column: nearest neighbours and their distance in Å.
Space group P4/mmm (No. 123)
One atom of each set of equivalent atoms:
1 Mn 0.0000 0.0000 0.0000 [1 per cell]  4 N 1.75
2 Co 0.5000 0.5000 0.5000 [1 per cell]  4 Se 2.47
3 Se 0.0000 0.0000 0.5000 [1 per cell]  4 Co 2.47, 2 Mn 2.60
4 N 0.0000 0.5000 0.0000 [2 per cell]  2 Mn 1.75

# 8
A PBEsol-optimized structure of LiMnF3. Source: Alexandria via LeMat-Bulk, functional meta-GGA SCAN.

uncorrected energy	-9.1474	eV/atom
formation energy from raw total energies	-279	kJ/mol of atoms
calculated density	3.22	Mg/m³

Cell: 7.1154 10.9840 6.3737 Å, 90.00 99.94 90.00°
Last column: nearest neighbours and their distance in Å.
Space group C2/c (No. 15)
One atom of each set of equivalent atoms:
1 Li 0.1947 0.1800 0.2859 [8 per cell]  3 F 1.79-1.85
2 Mn 0.0000 0.0648 0.7500 [4 per cell]  6 F 2.06-2.26
3 Mn 0.0000 0.4484 0.2500 [4 per cell]  6 F 2.07-2.19
4 F 0.0242 0.1092 0.0679 [8 per cell]  1 Li 1.85, 1 Mn 2.06
5 F 0.1173 0.4169 0.5863 [8 per cell]  1 Li 1.79
6 F 0.2384 0.3404 0.2299 [8 per cell]  1 Li 1.84

# 9
A PBEsol-optimized structure of Pr3InSe6. Source: Alexandria via LeMat-Bulk, functional meta-GGA SCAN.

uncorrected energy	-30.1717	eV/atom
formation energy from raw total energies	-173	kJ/mol of atoms
calculated density	6.55	Mg/m³

Cell: 14.2888 17.4764 4.1071 Å, 90.00 90.00 90.00°
Last column: nearest neighbours and their distance in Å.
Space group Pnnm (No. 58)
One atom of each set of equivalent atoms:
1 Pr 0.0422 0.2235 0.0000 [4 per cell]  8 Se 2.98-3.10
2 Pr 0.1866 0.6460 0.0000 [4 per cell]  7 Se 2.92-3.10
3 Pr 0.2480 0.8956 0.5000 [4 per cell]  8 Se 2.99-3.26
4 In 0.0000 0.0000 0.5000 [2 per cell]  6 Se 2.57-2.86
5 In 0.0000 0.5000 0.5000 [2 per cell]  6 Se 2.74-2.75
6 Se 0.0241 0.3970 0.0000 [4 per cell]  2 In 2.75, 1 Pr 3.04
7 Se 0.0930 0.9150 0.0000 [4 per cell]  2 In 2.86, 3 Pr 3.04-3.10
8 Se 0.1114 0.7498 0.5000 [4 per cell]  5 Pr 2.94-3.21
9 Se 0.1130 0.1144 0.5000 [4 per cell]  1 In 2.57
10 Se 0.1820 0.2853 0.5000 [4 per cell]  5 Pr 2.99-3.08, 1 Se 3.15
11 Se 0.1905 0.5194 0.5000 [4 per cell]  1 In 2.74, 2 Pr 3.02

# 10
A PBEsol-optimized structure of Mg2ScTl. Source: Alexandria via LeMat-Bulk, functional meta-GGA SCAN.

ΔE_f	-0.206	eV per atom
uncorrected energy	-24.3420	eV/atom
calculated density	5.45	Mg/m³

Cell: 3.2395 4.6318 6.2669 Å, 90.00 105.10 90.00°
Last column: nearest neighbours and their distance in Å.
Space group Pm (No. 6)
One atom of each set of equivalent atoms:
1 Mg 0.0000 0.0000 0.0000 [1 per cell]  1 Tl 3.01, 6 Mg 3.11-3.24, 4 Sc 3.36
2 Mg 0.3926 0.5000 0.7863 [1 per cell]  2 Tl 2.90, 1 Sc 3.11, 6 Mg 3.11-3.24
3 Sc 0.6499 0.5000 0.2996 [1 per cell]  4 Tl 3.07, 7 Mg 3.11-3.37, 2 Sc 3.24
4 Tl 0.2497 0.0000 0.4974 [1 per cell]  3 Mg 2.90-3.01, 4 Sc 3.07, 2 Tl 3.24

# 11
A PBEsol-optimized structure of TlH2O. Source: Alexandria via LeMat-Bulk, functional meta-GGA SCAN.

uncorrected energy	-21.2817	eV/atom
calculated density	9.52	Mg/m³

Cell: 6.7715 6.7715 6.7715 Å, 90.00 90.00 90.00°
Last column: nearest neighbours and their distance in Å.
Space group Fd-3m (No. 227, origin choice 2)
One atom of each set of equivalent atoms:
1 Tl 0.1250 0.1250 0.1250 [8 per cell]  12 H 2.81, 4 O 2.93, 4 Tl 2.93
2 H 0.0000 0.0000 0.5000 [16 per cell]  2 O 1.47
3 O 0.1250 0.1250 0.6250 [8 per cell]  4 H 1.47

# 12
A PBEsol-optimized structure of SrSiTc2. Source: Alexandria via LeMat-Bulk, functional meta-GGA SCAN.

uncorrected energy	-24.9315	eV/atom
formation energy from raw total energies	65	kJ/mol of atoms
calculated density	7.67	Mg/m³

Cell: 6.4627 6.4627 6.4627 Å, 90.00 90.00 90.00°
Last column: nearest neighbours and their distance in Å.
Space group F-43m (No. 216)
One atom of each set of equivalent atoms:
1 Sr 0.0000 0.0000 0.0000 [4 per cell]  4 Tc 2.80, 4 Si 2.80
2 Si 0.2500 0.2500 0.7500 [4 per cell]  4 Tc 2.80, 4 Sr 2.80
3 Tc 0.0000 0.0000 0.5000 [4 per cell]  4 Tc 2.80, 4 Si 2.80
4 Tc 0.2500 0.2500 0.2500 [4 per cell]  4 Tc 2.80, 4 Sr 2.80

Copy entry 11 word for word.
A PBEsol-optimized structure of TlH2O. Source: Alexandria via LeMat-Bulk, functional meta-GGA SCAN.

uncorrected energy	-21.2817	eV/atom
calculated density	9.52	Mg/m³

Cell: 6.7715 6.7715 6.7715 Å, 90.00 90.00 90.00°
Last column: nearest neighbours and their distance in Å.
Space group Fd-3m (No. 227, origin choice 2)
One atom of each set of equivalent atoms:
1 Tl 0.1250 0.1250 0.1250 [8 per cell]  12 H 2.81, 4 O 2.93, 4 Tl 2.93
2 H 0.0000 0.0000 0.5000 [16 per cell]  2 O 1.47
3 O 0.1250 0.1250 0.6250 [8 per cell]  4 H 1.47

Copy entry 1 word for word.
A PBEsol-optimized structure of Ni8Os. Source: Alexandria via LeMat-Bulk, functional meta-GGA SCAN.

ΔE_f	0.078	eV per atom
uncorrected energy	-22.2852	eV/atom
calculated density	11.30	Mg/m³

Cell: 7.4177 7.4177 3.5230 Å, 90.00 90.00 90.00°
Last column: nearest neighbours and their distance in Å.
Space group I4/mmm (No. 139)
One atom of each set of equivalent atoms:
1 Ni 0.0000 0.3340 0.0000 [8 per cell]  11 Ni 2.46-2.48, 1 Os 2.48
2 Ni 0.1663 0.1663 0.5000 [8 per cell]  10 Ni 2.47-2.49, 2 Os 2.48
3 Os 0.0000 0.0000 0.0000 [2 per cell]  12 Ni 2.48